{"formula": "MgTl6Bi2", "functional": "PBE-GGA", "state": "optimized geometry", "lattice_angstrom": [[-3.0400, -1.0656, 1.4127], [2.8900, 0.2054, 1.9947], [-5.8136, 24.4177, 5.9085]], "species": ["Mg", "Tl", "Tl", "Tl", "Tl", "Tl", "Tl", "Bi", "Bi"], "fractional_positions": [[0.3333, 0.6667, 0.0000], [0.6667, 0.3333, 0.9060], [0.3333, 0.6667, 0.4312], [0.3333, 0.6667, 0.7944], [0.3333, 0.6667, 0.2056], [0.3333, 0.6667, 0.5688], [0.6667, 0.3333, 0.0940], [0.6667, 0.3333, 0.3211], [0.6667, 0.3333, 0.6789]], "final_energy_ev_per_atom": -2.604, "sg": "No. 187"}

---

{"formula": "AlP2CO", "functional": "PBE-GGA", "state": "optimized geometry", "lattice_angstrom": [[4.1852, 0.0000, 0.0000], [0.0000, 4.1852, 0.0000], [0.0000, 0.0000, 3.3515]], "species": ["P", "P", "C", "Al", "O"], "fractional_positions": [[0.0000, 0.5000, 0.0000], [0.5000, 0.0000, 0.0000], [0.0000, 0.0000, 0.0000], [0.5000, 0.5000, 0.5000], [0.0000, 0.0000, 0.5000]], "raw_formation_energy_ev_per_atom": 0.844, "final_energy_ev_per_atom": -4.905, "sg": "No. 123"}

---

Please write out number 1 again, unchanged.
{"formula": "MgTl6Bi2", "functional": "PBE-GGA", "state": "optimized geometry", "lattice_angstrom": [[-3.0400, -1.0656, 1.4127], [2.8900, 0.2054, 1.9947], [-5.8136, 24.4177, 5.9085]], "species": ["Mg", "Tl", "Tl", "Tl", "Tl", "Tl", "Tl", "Bi", "Bi"], "fractional_positions": [[0.3333, 0.6667, 0.0000], [0.6667, 0.3333, 0.9060], [0.3333, 0.6667, 0.4312], [0.3333, 0.6667, 0.7944], [0.3333, 0.6667, 0.2056], [0.3333, 0.6667, 0.5688], [0.6667, 0.3333, 0.0940], [0.6667, 0.3333, 0.3211], [0.6667, 0.3333, 0.6789]], "final_energy_ev_per_atom": -2.604, "sg": "No. 187"}